[1]
Below is CaInCl3 after structural relaxation, with properties calculated at the PBE-GGA level.

abc: 5.494 5.494 5.494
angles: 90.00 90.00 90.00
Fractional positions:
In 0.000 0.000 0.000
Ca 0.500 0.500 0.500
Cl 0.000 0.000 0.500
Cl 0.000 0.500 0.000
Cl 0.500 0.000 0.000

Calculated values
Energy relative to the elements, uncorrected, eV per atom: -0.96

[2]
Below is CaInCl5 after structural relaxation, with properties calculated at the PBE-GGA level.

abc: 7.353 7.354 10.265
angles: 110.52 110.52 87.10
Last column: magnetic moment on the atom in μB.
Fractional positions:
Ca 0.500 0.000 0.500  0.00
Ca 0.500 0.000 0.000  0.00
Cl 0.755 0.343 0.662  0.01
Cl 0.564 0.937 0.750  0.07
Cl 0.157 0.745 0.838  0.01
Cl 0.749 0.700 0.038  0.00
Cl 0.251 0.300 0.962  0.00
Cl 0.200 0.249 0.538  0.00
Cl 0.843 0.255 0.162  0.01
Cl 0.245 0.657 0.338  0.01
Cl 0.800 0.751 0.462  0.00
Cl 0.436 0.063 0.250  0.07
In 0.104 0.396 0.750  0.00
In 0.896 0.604 0.250  0.00

Calculated values
Energy relative to the elements, uncorrected, eV per atom: -1.59

[3]
Below is CaInCl2 after structural relaxation, with properties calculated at the PBE-GGA level.

abc: 3.707 6.128 6.157
angles: 75.33 90.00 90.00
Last column: magnetic moment on the atom in μB.
Fractional positions:
In 0.500 0.250 0.250  0.06
Cl 0.000 0.555 0.553  0.01
Cl 0.000 0.945 0.947  0.01
Ca 0.500 0.750 0.750  0.01

Calculated values
E above lowest polymorph, meV per atom: 228
Energy relative to the elements, uncorrected, eV per atom: -1.32

[4]
Below is CaIn2Cl8 after structural relaxation, with properties calculated at the PBE-GGA level.

abc: 9.301 9.932 10.797
angles: 76.82 64.49 62.08
Last column: magnetic moment on the atom in μB.
Fractional positions:
Cl 0.897 0.311 0.022  0.00
Cl 0.373 0.730 0.537  0.06
Cl 0.316 0.543 0.272  0.00
Cl 0.115 0.482 0.686  0.00
Cl 0.640 0.770 0.963  0.06
Cl 0.718 0.982 0.186  0.00
Cl 0.627 0.270 0.463  0.06
Cl 0.360 0.230 0.037  0.06
Cl 0.282 0.018 0.814  0.00
Cl 0.131 0.957 0.228  0.00
Cl 0.770 0.811 0.522  0.00
Cl 0.684 0.457 0.728  0.00
Cl 0.869 0.043 0.772  0.00
Cl 0.885 0.518 0.314  0.00
Cl 0.103 0.689 0.978  0.00
Cl 0.230 0.189 0.478  0.00
In 0.182 0.128 0.032  0.00
In 0.818 0.872 0.968  0.00
In 0.342 0.372 0.468  0.00
In 0.658 0.628 0.532  0.00
Ca 0.998 0.750 0.250  0.00
Ca 0.002 0.250 0.750  0.00

Calculated values
E above lowest polymorph, meV per atom: 0
Energy relative to the elements, uncorrected, eV per atom: -1.41

[5]
Below is Ca3InCl after structural relaxation, with properties calculated at the PBE-GGA level.

abc: 5.335 5.335 5.335
angles: 90.00 90.00 90.00
Fractional positions:
Cl 0.000 0.000 0.000
In 0.500 0.500 0.500
Ca 0.000 0.000 0.500
Ca 0.500 0.000 0.000
Ca 0.000 0.500 0.000

Calculated values
E above lowest polymorph, meV per atom: 0
Energy relative to the elements, uncorrected, eV per atom: -0.71

[6]
Below is CaIn2Cl8 after structural relaxation, with properties calculated at the PBE-GGA level.

abc: 6.603 8.097 8.097
angles: 70.15 82.49 82.49
Last column: magnetic moment on the atom in μB.
Fractional positions:
Cl 0.779 0.706 0.092  0.00
Cl 0.781 0.624 0.624  0.08
Cl 0.779 0.092 0.706  0.00
Cl 0.711 0.178 0.178  0.00
Cl 0.221 0.908 0.294  0.00
Cl 0.289 0.822 0.822  0.00
Cl 0.219 0.376 0.376  0.08
Cl 0.221 0.294 0.908  0.00
Ca 0.000 0.000 0.000  0.00
In 0.661 0.799 0.799  0.00
In 0.339 0.201 0.201  0.00

Calculated values
E above lowest polymorph, meV per atom: 8
Energy relative to the elements, uncorrected, eV per atom: -1.40

[7]
Below is CaInCl2 after structural relaxation, with properties calculated at the PBE-GGA level.

abc: 5.476 5.476 5.430
angles: 65.11 65.11 98.47
Last column: magnetic moment on the atom in μB.
Fractional positions:
Ca 0.000 0.500 0.500  0.07
Cl 0.500 0.500 0.000  0.01
Cl 0.000 0.000 0.000  0.01
In 0.500 0.000 0.500  0.12

Calculated values
E above lowest polymorph, meV per atom: 372
Energy relative to the elements, uncorrected, eV per atom: -1.18

[8]
Below is CaInCl2 after structural relaxation, with properties calculated at the PBE-GGA level.

abc: 5.290 4.343 6.761
angles: 71.22 90.00 90.00
Fractional positions:
Cl 0.000 0.876 0.873
Cl 0.500 0.231 0.162
Ca 0.500 0.851 0.922
In 0.000 0.542 0.544

Calculated values
E above lowest polymorph, meV per atom: 267
Energy relative to the elements, uncorrected, eV per atom: -1.28

[9]
Below is CaIn3Cl after structural relaxation, with properties calculated at the PBE-GGA level.

abc: 5.578 5.578 5.578
angles: 90.00 90.00 90.00
Fractional positions:
In 0.000 0.000 0.500
In 0.000 0.500 0.000
In 0.500 0.000 0.000
Cl 0.000 0.000 0.000
Ca 0.500 0.500 0.500

Calculated values
E above lowest polymorph, meV per atom: 0
Energy relative to the elements, uncorrected, eV per atom: -0.08

[10]
Below is CaInCl3 after structural relaxation, with properties calculated at the PBE-GGA level.

abc: 4.154 9.739 15.174
angles: 90.00 90.00 90.00
Fractional positions:
Ca 0.250 0.172 0.951
Ca 0.750 0.328 0.451
Ca 0.250 0.672 0.549
Ca 0.750 0.828 0.049
Cl 0.250 0.505 0.400
Cl 0.750 0.334 0.005
Cl 0.750 0.703 0.208
Cl 0.750 0.834 0.495
Cl 0.250 0.297 0.792
Cl 0.250 0.666 0.995
Cl 0.750 0.495 0.600
Cl 0.250 0.166 0.505
Cl 0.750 0.995 0.900
Cl 0.250 0.005 0.100
Cl 0.750 0.203 0.292
Cl 0.250 0.797 0.708
In 0.750 0.513 0.823
In 0.250 0.987 0.323
In 0.750 0.013 0.677
In 0.250 0.487 0.177

Calculated values
Energy relative to the elements, uncorrected, eV per atom: -1.77

[11]
Below is Ca2InCl5 after structural relaxation, with properties calculated at the PBE-GGA level.

abc: 5.467 7.226 13.651
angles: 90.00 90.00 112.23
Fractional positions:
Cl 0.787 0.574 0.250
Cl 0.213 0.426 0.750
Cl 0.049 0.098 0.120
Cl 0.049 0.098 0.380
Cl 0.951 0.902 0.880
Cl 0.669 0.338 0.534
Cl 0.669 0.338 0.966
Cl 0.951 0.902 0.620
Cl 0.331 0.662 0.034
Cl 0.331 0.662 0.466
In 0.435 0.870 0.750
In 0.565 0.130 0.250
Ca 0.856 0.712 0.058
Ca 0.856 0.712 0.442
Ca 0.144 0.288 0.558
Ca 0.144 0.288 0.942

Calculated values
Energy relative to the elements, uncorrected, eV per atom: -1.99

[12]
Below is CaInCl2 after structural relaxation, with properties calculated at the PBE-GGA level.

abc: 5.335 5.335 5.335
angles: 60.00 60.00 60.00
Fractional positions:
Cl 0.750 0.750 0.750
Cl 0.000 0.000 0.000
Ca 0.500 0.500 0.500
In 0.250 0.250 0.250

Calculated values
E above lowest polymorph, meV per atom: 759
Energy relative to the elements, uncorrected, eV per atom: -0.79

Number 12 is which compound?
CaInCl2